Computed, not measured: a relaxed Nd4PSe2Br crystal at the PBE level of DFT.

Cell: 7.2760 4.2102 7.4454 Å, 90.00 109.05 90.00°
Closest atoms and distances in Å follow each position.
Space group P2/m (No. 10)
Inequivalent atoms, fractional coordinates:
Nd (0.2393, 0.0000, 0.2220) [2 per cell]  2 P 2.88, 3 Se 2.89-3.12, 1 Br 3.11
Nd (0.2582, 0.5000, 0.7815) [2 per cell]  1 P 2.86, 3 Se 2.88-3.15, 2 Br 3.13
P (0.0000, 0.5000, 0.0000) [1 per cell]  6 Nd 2.86-2.88
Se (0.5000, 0.0000, 0.0000) [1 per cell]  6 Nd 2.88-2.89
Se (0.5000, 0.5000, 0.5000) [1 per cell]  6 Nd 3.12-3.15
Br (0.0000, 0.0000, 0.5000) [1 per cell]  6 Nd 3.11-3.13

DOS at the Fermi energy	3.65	states/eV/cell
total magnetic moment	0.00	μB per cell
raw formation energy	-157.75	kJ/mol of atoms